! PBE Ce3PrIn3, relaxed; values from VASP
&SYSTEM
  ibrav = 0, nat = 14, ntyp = 3
/
ATOMIC_SPECIES
Ce 140.12 Ce.upf
In 114.82 In.upf
Pr 140.91 Pr.upf
ATOMIC_POSITIONS crystal
Ce 0.250 0.000 0.222
Ce 0.250 0.223 0.000
Ce 0.750 0.222 0.223
Ce 0.250 0.778 0.777
Ce 0.750 0.777 0.000
Ce 0.750 0.000 0.778
In 0.750 0.933 0.391
In 0.750 0.609 0.542
In 0.250 0.067 0.609
In 0.750 0.458 0.067
In 0.250 0.542 0.933
In 0.250 0.391 0.458
Pr 0.250 0.667 0.333
Pr 0.750 0.333 0.667
CELL_PARAMETERS angstrom
-4.727 1.077 1.265
-3.187 -5.840 -6.933
1.580 -3.441 8.831
! * DFT total energy: -4.6444 eV/atom
! * DFT formation energy: -23.63 kJ/mol of atoms
! * crystal system: hexagonal
! * SG: P6_3/m
! * Fermi-level density of states: 17.6 states/eV/f.u.



! PBE TbDy2Au3, relaxed; values from VASP
&SYSTEM
  ibrav = 0, nat = 6, ntyp = 3
/
ATOMIC_SPECIES
Dy 162.50 Dy.upf
Au 196.97 Au.upf
Tb 158.93 Tb.upf
ATOMIC_POSITIONS crystal
Dy 0.500 0.500 0.166
Dy 0.500 0.500 0.834
Au 0.000 0.000 0.000
Au 0.000 0.000 0.668
Au 0.000 0.000 0.332
Tb 0.500 0.500 0.500
CELL_PARAMETERS angstrom
3.586 0.000 0.000
0.000 3.586 0.000
0.000 0.000 10.911
! * DFT total energy: -4.8057 eV/atom
! * DFT formation energy: -83.10 kJ/mol of atoms
! * crystal system: tetragonal
! * SG: P4/mmm
! * Fermi-level density of states: 2.3 states/eV/f.u.